VASP calculation (PBE+U) on FeBrOF2 after structural relaxation.

Lattice parameters (Å, degrees): 4.5792 4.5792 4.0484 90.00 90.00 90.00
Site moments in Bohr magnetons follow the coordinates.
Atoms (fractional coordinates):
O 0.0000 0.0000 0.5000  -0.03
Fe 0.5000 0.5000 0.5000  4.05
Br 0.0000 0.0000 0.0000  -0.04
F 0.0000 0.5000 0.0000  0.01
F 0.5000 0.0000 0.0000  0.01

Space-group type: No. 123
Magnetization in μB/f.u.: 4.405
Crystal system: tetragonal
Energy above the most stable polymorph in this dataset in meV per atom: 1029.8
DOS(E_F) in states/eV/atom: 0.73
DFT total energy in eV/atom: -3.194